No. 1
Material: LaTe2S
Method: DFT, PBE-GGA
State: relaxed

Cell and atoms, written as POSCAR:
```
LaTe2S
1.0
2.414 1.394 8.450
-2.414 1.394 8.450
0.000 -2.787 8.450
La Te S
1 2 1
direct
0.000 0.000 0.000
0.398 0.398 0.398
0.602 0.602 0.602
0.500 0.500 0.500
```

## Properties
Its formation energy from raw total energies is -551 meV per atom. The calculation puts the total energy at -0.3223 Ry per atom.

No. 2
Material: La2TeS
Method: DFT, PBE-GGA
State: relaxed

Cell and atoms, written as POSCAR:
```
La2TeS
1.0
2.162 1.248 7.299
-2.162 1.248 7.299
0.000 -2.497 7.299
La Te S
2 1 1
direct
0.237 0.237 0.237
0.763 0.763 0.763
0.000 0.000 0.000
0.500 0.500 0.500
```

## Properties
For the polymorph energy (0 for the lowest one), the calculation gives 0.0000 eV per atom. Its formation energy from raw total energies is -1880 meV per atom. The calculation puts the total energy at -0.4528 Ry per atom.

No. 3
Material: La3Te2S
Method: DFT, PBE-GGA
State: relaxed

Cell and atoms, written as POSCAR:
```
La3Te2S
1.0
3.828 -6.630 0.000
3.828 6.630 0.000
-2.560 0.000 7.345
La Te S
6 4 2
direct
0.071 0.425 0.778
0.217 0.217 0.216
0.425 0.071 0.778
0.575 0.929 0.222
0.783 0.783 0.784
0.929 0.575 0.222
0.000 0.000 0.500
0.341 0.659 0.500
0.500 0.500 0.000
0.659 0.341 0.500
0.168 0.832 0.000
0.832 0.168 0.000
```

## Properties
Its formation energy from raw total energies is -1765 meV per atom. The calculation puts the total energy at -0.4383 Ry per atom.

No. 4
Material: LaTeS3
Method: DFT, PBE-GGA
State: relaxed

Cell and atoms, written as POSCAR:
```
LaTeS3
1.0
5.074 0.000 0.000
0.000 5.074 0.000
0.000 0.000 5.074
La Te S
1 1 3
direct
0.000 0.000 0.000
0.500 0.500 0.500
0.000 0.500 0.500
0.500 0.000 0.500
0.500 0.500 0.000
```

## Properties
For the polymorph energy (0 for the lowest one), the calculation gives 0.3508 eV per atom. Its formation energy from raw total energies is -553 meV per atom. The calculation puts the total energy at -0.3413 Ry per atom.

No. 5
Material: LaTeS3
Method: DFT, PBE-GGA
State: relaxed

Cell and atoms, written as POSCAR:
```
LaTeS3
1.0
4.188 0.000 0.000
0.000 9.426 0.000
-1.071 0.000 7.517
La Te S
2 2 6
direct
0.215 0.250 0.063
0.785 0.750 0.937
0.390 0.750 0.372
0.610 0.250 0.628
0.207 0.750 0.674
0.345 0.569 0.118
0.345 0.931 0.118
0.655 0.069 0.882
0.655 0.431 0.882
0.793 0.250 0.326
```

## Properties
For the polymorph energy (0 for the lowest one), the calculation gives 0.0000 eV per atom. Its formation energy from raw total energies is -904 meV per atom. The calculation puts the total energy at -0.3671 Ry per atom.

No. 6
Material: La2Te2S
Method: DFT, PBE-GGA
State: relaxed

Cell and atoms, written as POSCAR:
```
La2Te2S
1.0
8.781 0.000 0.000
0.000 8.781 0.000
0.000 0.000 4.026
La Te S
4 4 2
direct
0.170 0.330 0.000
0.330 0.830 0.000
0.670 0.170 0.000
0.830 0.670 0.000
0.132 0.632 0.500
0.368 0.132 0.500
0.632 0.868 0.500
0.868 0.368 0.500
0.000 0.000 0.500
0.500 0.500 0.500
```

## Properties
For the polymorph energy (0 for the lowest one), the calculation gives 0.6307 eV per atom. Its formation energy from raw total energies is -1164 meV per atom. The calculation puts the total energy at -0.3834 Ry per atom.

No. 7
Material: LaTeS3
Method: DFT, PBE-GGA
State: relaxed

Cell and atoms, written as POSCAR:
```
LaTeS3
1.0
5.485 0.000 0.000
0.000 5.485 0.000
0.000 0.000 5.485
La Te S
1 1 3
direct
0.000 0.000 0.000
0.500 0.500 0.500
0.000 0.000 0.500
0.000 0.500 0.000
0.500 0.000 0.000
```

## Properties
For the polymorph energy (0 for the lowest one), the calculation gives 0.8752 eV per atom. Its formation energy from raw total energies is -29 meV per atom. The calculation puts the total energy at -0.3027 Ry per atom.

No. 8
Material: La3Te2S2
Method: DFT, PBE-GGA
State: relaxed

Cell and atoms, written as POSCAR:
```
La3Te2S2
1.0
7.529 -2.242 0.000
7.529 2.242 0.000
-2.452 0.000 7.247
La Te S
3 2 2
direct
0.000 0.000 0.000
0.240 0.240 0.728
0.760 0.760 0.272
0.389 0.389 0.157
0.611 0.611 0.843
0.155 0.155 0.338
0.845 0.845 0.662
```

## Properties
For the polymorph energy (0 for the lowest one), the calculation gives 0.0000 eV per atom. Its formation energy from raw total energies is -1864 meV per atom. The calculation puts the total energy at -0.4448 Ry per atom.